! PBE ScVN, relaxed; values from VASP
&SYSTEM
  ibrav = 0, nat = 6, ntyp = 3
/
ATOMIC_SPECIES
Sc 44.96 Sc.upf
V 50.94 V.upf
N 14.01 N.upf
CELL_PARAMETERS angstrom
3.2147 0.0000 0.0000
0.0000 3.2147 0.0000
0.0000 0.0000 7.7029
ATOMIC_POSITIONS crystal
Sc 0.2500 0.2500 0.1800
Sc 0.7500 0.7500 0.8200
V 0.2500 0.7500 0.5000
V 0.7500 0.2500 0.5000
N 0.2500 0.2500 0.6857
N 0.7500 0.7500 0.3143
! Size of the total moment (Bohr magnetons per cell): 0.00
! Formation energy from raw total energies (eV/atom): -0.646
! Raw total energy (eV for the cell shown): -51.43

---

! PBE ScVN, relaxed; values from VASP
&SYSTEM
  ibrav = 0, nat = 3, ntyp = 3
/
ATOMIC_SPECIES
Sc 44.96 Sc.upf
V 50.94 V.upf
N 14.01 N.upf
CELL_PARAMETERS angstrom
-1.9036 1.9036 3.5935
1.9036 -1.9036 3.5935
1.9036 1.9036 -3.5935
ATOMIC_POSITIONS crystal
Sc 0.0000 0.0000 0.0000
V 0.4711 0.4711 0.0000
N 0.7086 0.7086 0.0000
! Size of the total moment (Bohr magnetons per cell): 0.77
! Formation energy from raw total energies (eV/atom): 0.363
! Raw total energy (eV for the cell shown): -22.69

---

! PBE ScVN2, relaxed; values from VASP
&SYSTEM
  ibrav = 0, nat = 4, ntyp = 3
/
ATOMIC_SPECIES
Sc 44.96 Sc.upf
V 50.94 V.upf
N 14.01 N.upf
CELL_PARAMETERS angstrom
1.4821 0.8557 5.2412
-1.4821 0.8557 5.2412
0.0000 -1.7114 5.2412
ATOMIC_POSITIONS crystal
Sc 0.0000 0.0000 0.0000
V 0.8258 0.8258 0.8258
N 0.4160 0.4160 0.4160
N 0.5730 0.5730 0.5730
! Size of the total moment (Bohr magnetons per cell): 0.00
! Formation energy from raw total energies (eV/atom): -1.398
! Raw total energy (eV for the cell shown): -37.69

---

! PBE ScVN2, relaxed; values from VASP
&SYSTEM
  ibrav = 0, nat = 8, ntyp = 3
/
ATOMIC_SPECIES
Sc 44.96 Sc.upf
V 50.94 V.upf
N 14.01 N.upf
CELL_PARAMETERS angstrom
-2.3326 2.3326 4.6348
2.3326 -2.3326 4.6348
2.3326 2.3326 -4.6348
ATOMIC_POSITIONS crystal
Sc 0.0000 0.0000 0.0000
Sc 0.7500 0.2500 0.5000
V 0.2500 0.7500 0.5000
V 0.5000 0.5000 0.0000
N 0.1638 0.6250 0.0388
N 0.3750 0.4138 0.5388
N 0.5862 0.1250 0.9612
N 0.8750 0.8362 0.4612
! Size of the total moment (Bohr magnetons per cell): 0.97
! Formation energy from raw total energies (eV/atom): -1.189
! Raw total energy (eV for the cell shown): -73.71

---

! PBE Sc2VN, relaxed; values from VASP
&SYSTEM
  ibrav = 0, nat = 8, ntyp = 3
/
ATOMIC_SPECIES
Sc 44.96 Sc.upf
V 50.94 V.upf
N 14.01 N.upf
CELL_PARAMETERS angstrom
-3.1794 3.1794 3.8605
3.1794 -3.1794 3.8605
3.1794 3.1794 -3.8605
ATOMIC_POSITIONS crystal
Sc 0.0157 0.6250 0.8907
Sc 0.3750 0.2657 0.3907
Sc 0.7343 0.1250 0.1093
Sc 0.8750 0.9843 0.6093
V 0.2500 0.7500 0.5000
V 0.5000 0.5000 0.0000
N 0.0000 0.0000 0.0000
N 0.7500 0.2500 0.5000
! Size of the total moment (Bohr magnetons per cell): 8.19
! Formation energy from raw total energies (eV/atom): -0.157
! Raw total energy (eV for the cell shown): -61.47

---

! PBE Sc2V2N, relaxed; values from VASP
&SYSTEM
  ibrav = 0, nat = 10, ntyp = 3
/
ATOMIC_SPECIES
Sc 44.96 Sc.upf
V 50.94 V.upf
N 14.01 N.upf
CELL_PARAMETERS angstrom
5.4744 0.0000 0.0000
0.0000 5.4744 0.0000
0.0000 0.0000 5.1028
ATOMIC_POSITIONS crystal
Sc 0.1654 0.3346 0.0000
Sc 0.3346 0.8346 0.0000
Sc 0.6654 0.1654 0.0000
Sc 0.8346 0.6654 0.0000
V 0.1756 0.6756 0.5000
V 0.3244 0.1756 0.5000
V 0.6756 0.8244 0.5000
V 0.8244 0.3244 0.5000
N 0.0000 0.0000 0.5000
N 0.5000 0.5000 0.5000
! Size of the total moment (Bohr magnetons per cell): 0.00
! Formation energy from raw total energies (eV/atom): -0.042
! Raw total energy (eV for the cell shown): -78.87

---

! PBE Sc2V2N, relaxed; values from VASP
&SYSTEM
  ibrav = 0, nat = 5, ntyp = 3
/
ATOMIC_SPECIES
Sc 44.96 Sc.upf
V 50.94 V.upf
N 14.01 N.upf
CELL_PARAMETERS angstrom
-1.7656 1.7656 7.0158
1.7656 -1.7656 7.0158
1.7656 1.7656 -7.0158
ATOMIC_POSITIONS crystal
Sc 0.2500 0.7500 0.5000
Sc 0.7500 0.2500 0.5000
V 0.0659 0.0659 0.0000
V 0.9341 0.9341 0.0000
N 0.5000 0.5000 0.0000
! Size of the total moment (Bohr magnetons per cell): 0.00
! Formation energy from raw total energies (eV/atom): 1.485
! Raw total energy (eV for the cell shown): -31.80

---

! PBE ScVZn2N, relaxed; values from VASP
&SYSTEM
  ibrav = 0, nat = 5, ntyp = 4
/
ATOMIC_SPECIES
Sc 44.96 Sc.upf
V 50.94 V.upf
Zn 65.41 Zn.upf
N 14.01 N.upf
CELL_PARAMETERS angstrom
4.8385 0.0000 0.0000
0.0000 4.8385 0.0000
0.0000 0.0000 3.6904
ATOMIC_POSITIONS crystal
Sc 0.0000 0.0000 0.0000
V 0.5000 0.5000 0.5000
Zn 0.0000 0.5000 0.5000
Zn 0.5000 0.0000 0.5000
N 0.5000 0.5000 0.0000
! Size of the total moment (Bohr magnetons per cell): 0.00
! Formation energy from raw total energies (eV/atom): 0.210
! Raw total energy (eV for the cell shown): -25.27

---

! PBE ScW3N, relaxed; values from VASP
&SYSTEM
  ibrav = 0, nat = 5, ntyp = 3
/
ATOMIC_SPECIES
Sc 44.96 Sc.upf
W 183.84 W.upf
N 14.01 N.upf
CELL_PARAMETERS angstrom
4.6042 0.0000 0.0000
0.0000 4.6042 0.0000
0.0000 0.0000 4.6042
ATOMIC_POSITIONS crystal
Sc 0.0000 0.0000 0.0000
W 0.0000 0.0000 0.5000
W 0.0000 0.5000 0.0000
W 0.5000 0.0000 0.0000
N 0.5000 0.5000 0.5000
! Size of the total moment (Bohr magnetons per cell): 0.00
! Formation energy from raw total energies (eV/atom): 3.620
! Raw total energy (eV for the cell shown): -35.42

---

! PBE ScWN3, relaxed; values from VASP
&SYSTEM
  ibrav = 0, nat = 10, ntyp = 3
/
ATOMIC_SPECIES
Sc 44.96 Sc.upf
W 183.84 W.upf
N 14.01 N.upf
CELL_PARAMETERS angstrom
3.4910 0.0000 0.0000
-0.3985 5.3673 0.0000
-0.8449 -1.8848 6.7757
ATOMIC_POSITIONS crystal
Sc 0.2124 0.3115 0.1237
Sc 0.7876 0.6885 0.8763
W 0.2588 0.0613 0.6682
W 0.7412 0.9387 0.3318
N 0.2271 0.3963 0.8124
N 0.2676 0.1369 0.3844
N 0.3294 0.9490 0.9311
N 0.6706 0.0510 0.0689
N 0.7324 0.8631 0.6156
N 0.7729 0.6037 0.1876
! Size of the total moment (Bohr magnetons per cell): 0.00
! Formation energy from raw total energies (eV/atom): -0.777
! Raw total energy (eV for the cell shown): -96.29

---

! PBE Sc3WN, relaxed; values from VASP
&SYSTEM
  ibrav = 0, nat = 5, ntyp = 3
/
ATOMIC_SPECIES
Sc 44.96 Sc.upf
W 183.84 W.upf
N 14.01 N.upf
CELL_PARAMETERS angstrom
4.9775 0.0000 0.0000
0.0000 4.9775 0.0000
0.0000 0.0000 4.9775
ATOMIC_POSITIONS crystal
Sc 0.0000 0.0000 0.5000
Sc 0.0000 0.5000 0.0000
Sc 0.5000 0.0000 0.0000
W 0.0000 0.0000 0.0000
N 0.5000 0.5000 0.5000
! Size of the total moment (Bohr magnetons per cell): 0.00
! Formation energy from raw total energies (eV/atom): 1.512
! Raw total energy (eV for the cell shown): -32.71

---

! PBE Sc3WN, relaxed; values from VASP
&SYSTEM
  ibrav = 0, nat = 5, ntyp = 3
/
ATOMIC_SPECIES
Sc 44.96 Sc.upf
W 183.84 W.upf
N 14.01 N.upf
CELL_PARAMETERS angstrom
4.3946 0.0000 0.0000
0.0000 4.3946 0.0000
0.0000 0.0000 4.3946
ATOMIC_POSITIONS crystal
Sc 0.0000 0.0000 0.5000
Sc 0.0000 0.5000 0.0000
Sc 0.5000 0.0000 0.0000
W 0.5000 0.5000 0.5000
N 0.0000 0.0000 0.0000
! Size of the total moment (Bohr magnetons per cell): 0.00
! Formation energy from raw total energies (eV/atom): -0.442
! Raw total energy (eV for the cell shown): -42.48

---

! PBE ScWN3, relaxed; values from VASP
&SYSTEM
  ibrav = 0, nat = 20, ntyp = 3
/
ATOMIC_SPECIES
Sc 44.96 Sc.upf
W 183.84 W.upf
N 14.01 N.upf
CELL_PARAMETERS angstrom
5.7070 0.0000 0.0000
0.7171 6.7105 0.0000
2.3627 -0.2431 8.3810
ATOMIC_POSITIONS crystal
Sc 0.1810 0.2160 0.2533
Sc 0.2407 0.0556 0.6027
Sc 0.7593 0.9444 0.3973
Sc 0.8190 0.7840 0.7467
W 0.0080 0.3721 0.8625
W 0.3109 0.7644 0.3256
W 0.6891 0.2356 0.6744
W 0.9920 0.6279 0.1375
N 0.0000 0.3287 0.0763
N 0.0000 0.6713 0.9237
N 0.0997 0.8924 0.2035
N 0.1053 0.7799 0.5306
N 0.2595 0.5131 0.2349
N 0.3179 0.3227 0.7227
N 0.4225 0.0380 0.3546
N 0.5775 0.9620 0.6454
N 0.6821 0.6773 0.2773
N 0.7405 0.4869 0.7651
N 0.8947 0.2201 0.4694
N 0.9003 0.1076 0.7965
! Size of the total moment (Bohr magnetons per cell): 0.00
! Formation energy from raw total energies (eV/atom): -0.816
! Raw total energy (eV for the cell shown): -193.36

---

! PBE YScN2, relaxed; values from VASP
&SYSTEM
  ibrav = 0, nat = 8, ntyp = 3
/
ATOMIC_SPECIES
Y 88.91 Y.upf
Sc 44.96 Sc.upf
N 14.01 N.upf
CELL_PARAMETERS angstrom
-2.5531 2.5531 5.0607
2.5531 -2.5531 5.0607
2.5531 2.5531 -5.0607
ATOMIC_POSITIONS crystal
Y 0.0000 0.0000 0.0000
Y 0.7500 0.2500 0.5000
Sc 0.2500 0.7500 0.5000
Sc 0.5000 0.5000 0.0000
N 0.1505 0.6250 0.0255
N 0.3750 0.4005 0.5255
N 0.5995 0.1250 0.9745
N 0.8750 0.8495 0.4745
! Size of the total moment (Bohr magnetons per cell): 0.00
! Formation energy from raw total energies (eV/atom): -1.516
! Raw total energy (eV for the cell shown): -71.02

---

! PBE YSc2N, relaxed; values from VASP
&SYSTEM
  ibrav = 0, nat = 4, ntyp = 3
/
ATOMIC_SPECIES
Y 88.91 Y.upf
Sc 44.96 Sc.upf
N 14.01 N.upf
CELL_PARAMETERS angstrom
3.0024 0.0000 0.0000
0.0000 3.0024 0.0000
0.0000 0.0000 8.2480
ATOMIC_POSITIONS crystal
Y 0.0000 0.0000 0.0000
Sc 0.5000 0.5000 0.3466
Sc 0.5000 0.5000 0.6534
N 0.0000 0.0000 0.5000
! Size of the total moment (Bohr magnetons per cell): 0.00
! Formation energy from raw total energies (eV/atom): -0.283
! Raw total energy (eV for the cell shown): -28.58

---

! PBE YScN2, relaxed; values from VASP
&SYSTEM
  ibrav = 0, nat = 4, ntyp = 3
/
ATOMIC_SPECIES
Y 88.91 Y.upf
Sc 44.96 Sc.upf
N 14.01 N.upf
CELL_PARAMETERS angstrom
1.6496 0.9524 5.7116
-1.6496 0.9524 5.7116
0.0000 -1.9048 5.7116
ATOMIC_POSITIONS crystal
Y 0.0000 0.0000 0.0000
Sc 0.8290 0.8290 0.8290
N 0.4163 0.4163 0.4163
N 0.5771 0.5771 0.5771
! Size of the total moment (Bohr magnetons per cell): 0.00
! Formation energy from raw total energies (eV/atom): -1.462
! Raw total energy (eV for the cell shown): -35.29

---

! PBE YSc2N, relaxed; values from VASP
&SYSTEM
  ibrav = 0, nat = 8, ntyp = 3
/
ATOMIC_SPECIES
Y 88.91 Y.upf
Sc 44.96 Sc.upf
N 14.01 N.upf
CELL_PARAMETERS angstrom
-3.3035 3.3035 4.6739
3.3035 -3.3035 4.6739
3.3035 3.3035 -4.6739
ATOMIC_POSITIONS crystal
Y 0.0000 0.0000 0.0000
Y 0.7500 0.2500 0.5000
Sc 0.3715 0.6250 0.2465
Sc 0.3750 0.6215 0.7465
Sc 0.3785 0.1250 0.7535
Sc 0.8750 0.6285 0.2535
N 0.2500 0.7500 0.5000
N 0.5000 0.5000 0.0000
! Size of the total moment (Bohr magnetons per cell): 1.75
! Formation energy from raw total energies (eV/atom): -0.607
! Raw total energy (eV for the cell shown): -59.76

---

! PBE Y2Sc4N, relaxed; values from VASP
&SYSTEM
  ibrav = 0, nat = 7, ntyp = 3
/
ATOMIC_SPECIES
Y 88.91 Y.upf
Sc 44.96 Sc.upf
N 14.01 N.upf
CELL_PARAMETERS angstrom
-2.2090 2.2090 8.7832
2.2090 -2.2090 8.7832
2.2090 2.2090 -8.7832
ATOMIC_POSITIONS crystal
Y 0.1805 0.1805 0.0000
Y 0.8195 0.8195 0.0000
Sc 0.0000 0.5000 0.5000
Sc 0.3765 0.3765 0.0000
Sc 0.5000 0.0000 0.5000
Sc 0.6235 0.6235 0.0000
N 0.5000 0.5000 0.0000
! Size of the total moment (Bohr magnetons per cell): 0.01
! Formation energy from raw total energies (eV/atom): -0.371
! Raw total energy (eV for the cell shown): -49.18

---

! PBE YScN2, relaxed; values from VASP
&SYSTEM
  ibrav = 0, nat = 4, ntyp = 3
/
ATOMIC_SPECIES
Y 88.91 Y.upf
Sc 44.96 Sc.upf
N 14.01 N.upf
CELL_PARAMETERS angstrom
1.6713 0.9649 5.4528
-1.6713 0.9649 5.4528
0.0000 -1.9298 5.4528
ATOMIC_POSITIONS crystal
Y 0.0000 0.0000 0.0000
Sc 0.5000 0.5000 0.5000
N 0.2450 0.2450 0.2450
N 0.7550 0.7550 0.7550
! Size of the total moment (Bohr magnetons per cell): 0.00
! Formation energy from raw total energies (eV/atom): -1.749
! Raw total energy (eV for the cell shown): -36.44

---

! PBE YScN, relaxed; values from VASP
&SYSTEM
  ibrav = 0, nat = 3, ntyp = 3
/
ATOMIC_SPECIES
Y 88.91 Y.upf
Sc 44.96 Sc.upf
N 14.01 N.upf
CELL_PARAMETERS angstrom
0.0000 2.9715 5.9588
1.6672 0.0000 5.9588
1.6672 2.9715 0.0000
ATOMIC_POSITIONS crystal
Y 0.0000 0.0000 0.0000
Sc 0.7488 0.7488 0.2512
N 0.3614 0.3614 0.6386
! Size of the total moment (Bohr magnetons per cell): 0.00
! Formation energy from raw total energies (eV/atom): -0.719
! Raw total energy (eV for the cell shown): -23.28

---

! PBE YScN3, relaxed; values from VASP
&SYSTEM
  ibrav = 0, nat = 5, ntyp = 3
/
ATOMIC_SPECIES
Y 88.91 Y.upf
Sc 44.96 Sc.upf
N 14.01 N.upf
CELL_PARAMETERS angstrom
4.0495 0.0000 0.0000
0.0000 4.0495 0.0000
0.0000 0.0000 4.0495
ATOMIC_POSITIONS crystal
Y 0.0000 0.0000 0.0000
Sc 0.5000 0.5000 0.5000
N 0.0000 0.5000 0.5000
N 0.5000 0.0000 0.5000
N 0.5000 0.5000 0.0000
! Size of the total moment (Bohr magnetons per cell): 1.53
! Formation energy from raw total energies (eV/atom): -0.204
! Raw total energy (eV for the cell shown): -38.79

---

! PBE YScN3, relaxed; values from VASP
&SYSTEM
  ibrav = 0, nat = 5, ntyp = 3
/
ATOMIC_SPECIES
Y 88.91 Y.upf
Sc 44.96 Sc.upf
N 14.01 N.upf
CELL_PARAMETERS angstrom
4.2314 0.0000 0.0000
0.0000 4.2314 0.0000
0.0000 0.0000 4.2314
ATOMIC_POSITIONS crystal
Y 0.0000 0.0000 0.0000
Sc 0.5000 0.5000 0.5000
N 0.0000 0.0000 0.5000
N 0.0000 0.5000 0.0000
N 0.5000 0.0000 0.0000
! Size of the total moment (Bohr magnetons per cell): 0.00
! Formation energy from raw total energies (eV/atom): 0.568
! Raw total energy (eV for the cell shown): -34.93

---

! PBE Y2ScN3, relaxed; values from VASP
&SYSTEM
  ibrav = 0, nat = 24, ntyp = 3
/
ATOMIC_SPECIES
Y 88.91 Y.upf
Sc 44.96 Sc.upf
N 14.01 N.upf
CELL_PARAMETERS angstrom
2.9655 -5.3311 0.0000
2.9655 5.3311 0.0000
-1.5444 0.0000 11.8990
ATOMIC_POSITIONS crystal
Y 0.0224 0.4304 0.8667
Y 0.0834 0.3245 0.4221
Y 0.3245 0.0834 0.9221
Y 0.4304 0.0224 0.3667
Y 0.5696 0.9776 0.6333
Y 0.6755 0.9166 0.0779
Y 0.9166 0.6755 0.5779
Y 0.9776 0.5696 0.1333
Sc 0.2773 0.2811 0.6629
Sc 0.2811 0.2773 0.1629
Sc 0.7189 0.7227 0.8371
Sc 0.7227 0.7189 0.3371
N 0.0271 0.9729 0.2500
N 0.0595 0.2778 0.0291
N 0.2087 0.5560 0.6039
N 0.2778 0.0595 0.5291
N 0.3681 0.6319 0.2500
N 0.4440 0.7913 0.8961
N 0.5560 0.2087 0.1039
N 0.6319 0.3681 0.7500
N 0.7222 0.9405 0.4709
N 0.7913 0.4440 0.3961
N 0.9405 0.7222 0.9709
N 0.9729 0.0271 0.7500
! Size of the total moment (Bohr magnetons per cell): 0.00
! Formation energy from raw total energies (eV/atom): -1.439
! Raw total energy (eV for the cell shown): -211.48

---

! PBE YSc2N, relaxed; values from VASP
&SYSTEM
  ibrav = 0, nat = 4, ntyp = 3
/
ATOMIC_SPECIES
Y 88.91 Y.upf
Sc 44.96 Sc.upf
N 14.01 N.upf
CELL_PARAMETERS angstrom
1.6427 0.9484 8.4777
-1.6427 0.9484 8.4777
0.0000 -1.8969 8.4777
ATOMIC_POSITIONS crystal
Y 0.0000 0.0000 0.0000
Sc 0.2144 0.2144 0.2144
Sc 0.7856 0.7856 0.7856
N 0.5000 0.5000 0.5000
! Size of the total moment (Bohr magnetons per cell): 0.00
! Formation energy from raw total energies (eV/atom): -0.874
! Raw total energy (eV for the cell shown): -30.95

---

! PBE Y2ScN3, relaxed; values from VASP
&SYSTEM
  ibrav = 0, nat = 6, ntyp = 3
/
ATOMIC_SPECIES
Y 88.91 Y.upf
Sc 44.96 Sc.upf
N 14.01 N.upf
CELL_PARAMETERS angstrom
-1.6921 2.4060 5.0839
1.6921 -2.4060 5.0839
1.6921 2.4060 -5.0839
ATOMIC_POSITIONS crystal
Y 0.1654 0.1654 0.0000
Y 0.8346 0.8346 0.0000
Sc 0.5000 0.5000 0.0000
N 0.0000 0.5000 0.5000
N 0.3423 0.8423 0.5000
N 0.6577 0.1577 0.5000
! Size of the total moment (Bohr magnetons per cell): 0.00
! Formation energy from raw total energies (eV/atom): -1.712
! Raw total energy (eV for the cell shown): -54.51

---

! PBE YScN2, relaxed; values from VASP
&SYSTEM
  ibrav = 0, nat = 4, ntyp = 3
/
ATOMIC_SPECIES
Y 88.91 Y.upf
Sc 44.96 Sc.upf
N 14.01 N.upf
CELL_PARAMETERS angstrom
3.2935 0.0000 0.0000
-1.6468 2.8523 0.0000
0.0000 0.0000 5.7840
ATOMIC_POSITIONS crystal
Y 0.0000 0.0000 0.0000
Sc 0.0000 0.0000 0.5000
N 0.3333 0.6667 0.7356
N 0.6667 0.3333 0.2644
! Size of the total moment (Bohr magnetons per cell): 0.00
! Formation energy from raw total energies (eV/atom): -1.399
! Raw total energy (eV for the cell shown): -35.04